# 1
## ScReNi (GGA-PBEsol)

Data for an optimized crystal structure of ScReNi.

The structure in POSCAR format:
```
ScReNi
1.0
2.7196 0.0000 0.0000
0.0000 2.7196 0.0000
-1.3598 -1.3598 5.9332
Re Ni Sc
1 1 1
Direct
0.6506 0.6506 0.3011
0.0105 0.0105 0.0210
0.3389 0.3389 0.6778
```

Results
energy of formation = -6.3 kJ per mole of atoms
uncorrected energy = -26.291 eV/cell
size of the total moment = 0.0 μB/cell

---

# 2
## YCoAsBr2 (GGA-PBEsol)

Data for an optimized crystal structure of YCoAsBr2.

The structure in POSCAR format:
```
YCoAsBr2
1.0
-2.2032 1.5516 3.8005
-4.0148 -1.7134 -1.6280
0.8889 -4.2029 2.2312
Br As Co Y
2 1 1 1
Direct
0.0000 0.5000 0.0000
0.5000 0.0000 0.0000
0.0000 0.0000 0.5000
0.0000 0.0000 0.0000
0.5000 0.5000 0.5000
```

Results
uncorrected energy = -25.106 eV/cell
E_form (uncorrected) = -0.340 eV/atom
size of the total moment = 0.0 μB/cell

---

# 3
## MnReIrAu2 (GGA-PBEsol)

Data for an optimized crystal structure of MnReIrAu2.

The structure in POSCAR format:
```
MnReIrAu2
1.0
4.5969 0.0000 0.0000
0.0000 4.9529 0.0000
0.0000 0.0000 4.9529
Au Re Mn Ir
2 1 1 1
Direct
0.0000 0.5000 0.0000
0.0000 0.0000 0.5000
0.5000 0.0000 0.0000
0.5000 0.5000 0.5000
0.0000 0.0000 0.0000
```

Results
energy of formation = 168.4 kJ per mole of atoms
uncorrected energy = -32.040 eV/cell
size of the total moment = 5.5 μB/cell

---

# 4
## Li4SbMo (GGA-PBEsol)

Data for an optimized crystal structure of Li4SbMo.

The structure in POSCAR format:
```
Li4SbMo
1.0
4.9950 0.0000 0.0000
2.4975 4.3258 0.0000
2.4975 1.4419 4.0784
Mo Li Sb
1 4 1
Direct
0.7500 0.7500 0.7500
0.3765 0.3765 0.8705
0.3765 0.3765 0.3765
0.3765 0.8705 0.3765
0.8705 0.3765 0.3765
0.0000 0.0000 0.0000
```

Results
uncorrected energy = -22.509 eV/cell
E_form (uncorrected) = 0.280 eV/atom
size of the total moment = 2.5 μB/cell

---

Among the records above, which one has the highest size of the total moment?
MnReIrAu2